A plane-wave DFT calculation with PBE was carried out for an optimized crystal structure of CeCo4Sn.

Output
M_tot	3.92	μB/f.u.
final energy	-0.4798	Ry per atom

Unit cell a=7.0970 b=7.0970 c=7.0970 alpha=90.00 beta=90.00 gamma=90.00
Space group F-43m (No. 216)
One atom of each set of equivalent atoms:
Ce (0.0000, 0.0000, 0.0000)
Co (0.1242, 0.1242, 0.6242)
Sn (0.2500, 0.2500, 0.2500)

A plane-wave DFT calculation with PBE was carried out for an optimized crystal structure of Ce5CoSn2.

Output
M_tot	3.72	μB/f.u.
final energy	-0.4416	Ry per atom

Unit cell a=7.7237 b=12.2916 c=4.6319 alpha=90.00 beta=90.00 gamma=90.00
Space group Pbam (No. 55)
One atom of each set of equivalent atoms:
Ce (0.0000, 0.0000, 0.0000)
Ce (0.1056, 0.3140, 0.0000)
Ce (0.2119, 0.5581, 0.5000)
Co (0.0000, 0.5000, 0.0000)
Sn (0.0970, 0.8216, 0.5000)

A plane-wave DFT calculation with PBE was carried out for an optimized crystal structure of Ce3CoSn2.

Output
M_tot	2.30	μB/f.u.
final energy	-0.4390	Ry per atom

Unit cell a=12.7845 b=4.7163 c=10.1948 alpha=90.00 beta=90.00 gamma=90.00
Space group Pnma (No. 62)
One atom of each set of equivalent atoms:
Ce (0.0579, 0.2500, 0.0952)
Ce (0.1227, 0.7500, 0.5511)
Ce (0.2381, 0.7500, 0.2650)
Co (0.0990, 0.2500, 0.3259)
Sn (0.0114, 0.2500, 0.7153)
Sn (0.2061, 0.7500, 0.9550)